1.
## CuBIr (PBE)

Data for crystalline CuBIr at its relaxed geometry.

Unit cell a=3.6539 b=3.6539 c=3.6539 alpha=60.00 beta=60.00 gamma=60.00
Atoms (fractional coordinates):
Cu  0.0000  0.0000  0.0000
B  0.7500  0.7500  0.7500
Ir  0.5000  0.5000  0.5000

E above lowest polymorph   135.3 meV per atom
Space group   F-43m (216)
Energy of formation   -0.05 eV/atom

2.
## Tb6Sm3Ho2 (PBE)

Data for crystalline Tb6Sm3Ho2 at its relaxed geometry.

Unit cell a=32.0685 b=32.0685 c=32.0685 alpha=6.38 beta=6.38 gamma=6.38
Atoms (fractional coordinates):
Tb  0.0918  0.0918  0.0918
Tb  0.1818  0.1818  0.1818
Tb  0.3639  0.3639  0.3639
Tb  0.6361  0.6361  0.6361
Tb  0.8182  0.8182  0.8182
Tb  0.9082  0.9082  0.9082
Sm  0.0000  0.0000  0.0000
Sm  0.2722  0.2722  0.2722
Sm  0.7278  0.7278  0.7278
Ho  0.4550  0.4550  0.4550
Ho  0.5450  0.5450  0.5450

E above lowest polymorph   0.0 meV per atom
Space group   R-3m (166)
Energy of formation   0.02 eV/atom

3.
## Li6PmAu6 (PBE)

Data for crystalline Li6PmAu6 at its relaxed geometry.

Unit cell a=6.9934 b=6.9934 c=6.9934 alpha=135.41 beta=99.20 gamma=97.36
Atoms (fractional coordinates):
Li  0.0000  0.0000  0.5000
Li  0.0000  0.5000  0.0000
Li  0.2374  0.0000  0.2374
Li  0.5000  0.0000  0.0000
Li  0.5000  0.5000  0.5000
Li  0.7626  0.0000  0.7626
Pm  0.0000  0.5000  0.5000
Au  0.1941  0.1941  0.0000
Au  0.3353  0.5000  0.8353
Au  0.3424  0.8424  0.5000
Au  0.6576  0.1576  0.5000
Au  0.6647  0.5000  0.1647
Au  0.8059  0.8059  0.0000

Space group   Immm (71)
Energy of formation   -0.50 eV/atom

4.
## LaTe (PBE)

Data for crystalline LaTe at its relaxed geometry.

Unit cell a=3.9384 b=3.9384 c=3.9384 alpha=90.00 beta=90.00 gamma=90.00
Atoms (fractional coordinates):
La  0.0000  0.0000  0.0000
Te  0.5000  0.5000  0.5000

Space group   Pm-3m (221)

5.
## KNaThF6 (PBE)

Data for crystalline KNaThF6 at its relaxed geometry.

Unit cell a=6.3787 b=6.3787 c=7.9590 alpha=90.00 beta=90.00 gamma=120.00
Atoms (fractional coordinates):
K  0.3333  0.6667  0.1092
K  0.6667  0.3333  0.8908
Na  0.0000  0.0000  0.2675
Na  0.0000  0.0000  0.7325
Th  0.3333  0.6667  0.6216
Th  0.6667  0.3333  0.3784
F  0.0769  0.3896  0.4032
F  0.1080  0.3829  0.8211
F  0.2749  0.8920  0.8211
F  0.3127  0.9231  0.4032
F  0.3829  0.2749  0.1789
F  0.3896  0.3127  0.5968
F  0.6104  0.6873  0.4032
F  0.6171  0.7251  0.8211
F  0.6873  0.0769  0.5968
F  0.7251  0.1080  0.1789
F  0.8920  0.6171  0.1789
F  0.9231  0.6104  0.5968

E above lowest polymorph   0.0 meV per atom
Space group   P-3 (147)

6.
## LiDyNpSe3 (PBE)

Data for crystalline LiDyNpSe3 at its relaxed geometry.

Unit cell a=8.4274 b=3.9784 c=8.7892 alpha=90.00 beta=103.08 gamma=90.00
Atoms (fractional coordinates):
Li  0.0861  0.2500  0.0800
Li  0.9139  0.7500  0.9200
Dy  0.3348  0.7500  0.3339
Dy  0.6652  0.2500  0.6661
Np  0.1765  0.2500  0.7161
Np  0.8235  0.7500  0.2839
Se  0.0977  0.2500  0.3657
Se  0.2234  0.7500  0.9941
Se  0.4250  0.7500  0.6717
Se  0.5750  0.2500  0.3283
Se  0.7766  0.2500  0.0059
Se  0.9023  0.7500  0.6343

Space group   P2_1/m (11)

7.
## Cd2BiO (PBE)

Data for crystalline Cd2BiO at its relaxed geometry.

Unit cell a=6.4478 b=6.4478 c=6.4478 alpha=118.12 beta=118.12 gamma=93.29
Atoms (fractional coordinates):
Cd  0.0251  0.6250  0.9001
Cd  0.3750  0.2751  0.4001
Cd  0.7249  0.1250  0.0999
Cd  0.8750  0.9749  0.5999
Bi  0.2500  0.7500  0.5000
Bi  0.5000  0.5000  0.0000
O  0.0000  0.0000  0.0000
O  0.7500  0.2500  0.5000

E above lowest polymorph   0.0 meV per atom
Space group   I-42d (122)

8.
## Hg2IF3 (PBE)

Data for crystalline Hg2IF3 at its relaxed geometry.

Unit cell a=4.1495 b=6.7202 c=11.1259 alpha=90.44 beta=91.70 gamma=107.28
Atoms (fractional coordinates):
Hg  0.0819  0.1375  0.2473
Hg  0.3795  0.7283  0.0671
Hg  0.6205  0.2717  0.9329
Hg  0.9181  0.8625  0.7527
I  0.3432  0.7094  0.6037
I  0.6568  0.2906  0.3963
F  0.0758  0.2065  0.8219
F  0.2041  0.3842  0.0708
F  0.4378  0.9241  0.8840
F  0.5622  0.0759  0.1160
F  0.7959  0.6158  0.9292
F  0.9242  0.7935  0.1781

Space group   P-1 (2)

9.
## Nd2TmPt (PBE)

Data for crystalline Nd2TmPt at its relaxed geometry.

Unit cell a=10.8862 b=10.8862 c=10.8862 alpha=19.97 beta=19.97 gamma=19.97
Atoms (fractional coordinates):
Nd  0.1079  0.1079  0.1079
Nd  0.8921  0.8921  0.8921
Tm  0.0000  0.0000  0.0000
Pt  0.5000  0.5000  0.5000

E above lowest polymorph   367.4 meV per atom
Space group   R-3m (166)
Energy of formation   -0.21 eV/atom

10.
## PuTiIr (PBE)

Data for crystalline PuTiIr at its relaxed geometry.

Unit cell a=6.5387 b=5.6004 c=5.1832 alpha=74.54 beta=55.64 gamma=49.82
Atoms (fractional coordinates):
Pu  0.1665  0.8335  0.1665
Pu  0.8335  0.1665  0.8335
Ti  0.3349  0.3349  0.6651
Ti  0.6651  0.6651  0.3349
Ir  0.2500  0.2500  0.2500
Ir  0.7500  0.7500  0.7500

E above lowest polymorph   104.6 meV per atom
Space group   Fmmm (69)
Energy of formation   -0.38 eV/atom

11.
## Ce7Ge2As2 (PBE)

Data for crystalline Ce7Ge2As2 at its relaxed geometry.

Unit cell a=6.7535 b=6.7535 c=6.7425 alpha=90.00 beta=90.00 gamma=104.32
Atoms (fractional coordinates):
Ce  0.0000  0.0000  0.0000
Ce  0.0000  0.5000  0.2996
Ce  0.0000  0.5000  0.7004
Ce  0.5000  0.0000  0.2996
Ce  0.5000  0.0000  0.7004
Ce  0.5000  0.5000  0.2926
Ce  0.5000  0.5000  0.7074
Ge  0.1582  0.1582  0.5000
Ge  0.8418  0.8418  0.5000
As  0.2826  0.7174  0.0000
As  0.7174  0.2826  0.0000

Space group   Cmmm (65)
Energy of formation   -0.54 eV/atom

12.
## DyErTlHg (PBE)

Data for crystalline DyErTlHg at its relaxed geometry.

Unit cell a=3.7484 b=3.7484 c=7.4835 alpha=90.00 beta=90.00 gamma=90.00
Atoms (fractional coordinates):
Dy  0.0000  0.0000  0.0000
Er  0.0000  0.0000  0.4821
Tl  0.5000  0.5000  0.7388
Hg  0.5000  0.5000  0.2457

E above lowest polymorph   0.0 meV per atom
Space group   P4mm (99)
Energy of formation   -0.40 eV/atom

no.,raw total energy (eV per atom)
1,-6.5918
2,-4.6295
3,-3.2593
4,-5.5044
5,-5.9440
6,-6.3543
7,-2.9995
8,-2.4228
9,-5.2171
10,-10.7427
11,-6.0032
12,-3.3629